1.
Computed, not measured: a geometry-optimized KWAu structure at the PBE level of DFT.

Fermi-level density of states (states/eV/cell): 2.056
E_tot (eV per formula unit): -14.8
Energy relative to the lowest polymorph listed for this composition (eV/atom): 0.2464
Formation energy (eV/atom): 0.844

Unit cell a=6.840 b=6.840 c=6.840 alpha=157.00 beta=142.42 gamma=44.52
Element x y z (fractional)
K (0.000, 0.000, 0.000)
W (0.276, 0.276, 0.000)
Au (0.710, 0.710, 0.000)

2.
Computed, not measured: a geometry-optimized KWAu structure at the PBE level of DFT.

Fermi-level density of states (states/eV/cell): 3.128
E_tot (eV per formula unit): -14.5
Energy relative to the lowest polymorph listed for this composition (eV/atom): 0.3327
Formation energy (eV/atom): 0.930

Unit cell a=2.909 b=2.909 c=8.481 alpha=90.00 beta=90.00 gamma=120.00
Element x y z (fractional)
K (0.000, 0.000, 0.000)
W (0.667, 0.333, 0.374)
Au (0.333, 0.667, 0.652)

3.
Computed, not measured: a geometry-optimized K2WAu structure at the PBE level of DFT.

Fermi-level density of states (states/eV/cell): 3.848
E_tot (eV per formula unit): -15.1
Energy relative to the lowest polymorph listed for this composition (eV/atom): 0.0772
Formation energy (eV/atom): 0.843

Unit cell a=10.464 b=10.464 c=4.722 alpha=102.99 beta=102.99 gamma=15.56
Element x y z (fractional)
K (0.147, 0.147, 0.144)
K (0.853, 0.853, 0.856)
W (0.000, 0.000, 0.500)
Au (0.500, 0.500, 0.000)

4.
Computed, not measured: a geometry-optimized KWAu structure at the PBE level of DFT.

Fermi-level density of states (states/eV/cell): 6.623
E_tot (eV per formula unit): -15.1
Energy relative to the lowest polymorph listed for this composition (eV/atom): 0.1402
Formation energy (eV/atom): 0.738

Unit cell a=12.783 b=5.241 c=4.893 alpha=90.00 beta=90.00 gamma=90.00
Element x y z (fractional)
K (0.237, 0.250, 0.057)
K (0.263, 0.750, 0.557)
K (0.737, 0.250, 0.443)
K (0.763, 0.750, 0.943)
W (0.004, 0.250, 0.501)
W (0.496, 0.750, 0.001)
W (0.504, 0.250, 0.999)
W (0.996, 0.750, 0.499)
Au (0.000, 0.000, 0.000)
Au (0.000, 0.500, 0.000)
Au (0.500, 0.000, 0.500)
Au (0.500, 0.500, 0.500)

5.
Computed, not measured: a geometry-optimized KWAu4 structure at the PBE level of DFT.

Fermi-level density of states (states/eV/cell): 2.477
E_tot (eV per formula unit): -23.3
Formation energy (eV/atom): 0.643

Unit cell a=5.624 b=5.624 c=5.624 alpha=60.00 beta=60.00 gamma=60.00
Element x y z (fractional)
K (0.000, 0.000, 0.000)
W (0.750, 0.750, 0.750)
Au (0.375, 0.375, 0.375)
Au (0.375, 0.375, 0.874)
Au (0.375, 0.874, 0.375)
Au (0.874, 0.375, 0.375)

6.
Computed, not measured: a geometry-optimized KW2Au structure at the PBE level of DFT.

Fermi-level density of states (states/eV/cell): 7.037
E_tot (eV per formula unit): -24.0
Energy relative to the lowest polymorph listed for this composition (eV/atom): 0.9414
Formation energy (eV/atom): 1.562

Unit cell a=10.691 b=10.691 c=10.691 alpha=156.03 beta=156.03 gamma=34.16
Element x y z (fractional)
K (0.000, 0.000, 0.000)
K (0.750, 0.250, 0.500)
W (0.275, 0.625, 0.150)
W (0.375, 0.525, 0.650)
W (0.475, 0.125, 0.850)
W (0.875, 0.725, 0.350)
Au (0.250, 0.750, 0.500)
Au (0.500, 0.500, 0.000)